No. 1
Below is crystalline SiAs2Pb at its relaxed geometry, with properties calculated at the GGA-PBE level.

Cell: 3.702 4.773 4.921 Å, 90.00 90.00 90.00°
Space group Pmmm (No. 47)
One atom of each set of equivalent atoms:
Si: 0.000 0.000 0.000 (multiplicity 1)
As: 0.000 0.500 0.500 (multiplicity 1)
As: 0.500 0.000 0.500 (multiplicity 1)
Pb: 0.500 0.500 0.000 (multiplicity 1)

Results
* formation energy without anion corrections: 499 meV per atom
* excess energy over the best structure of this formula in the dataset: 0.4666 eV per atom

***

No. 2
Below is crystalline Si2AsPb at its relaxed geometry, with properties calculated at the GGA-PBE level.

Cell: 3.7143 3.7143 21.7905 Å, 90.00 90.00 120.00°
Space group R-3m (No. 166, hexagonal axes)
One atom of each set of equivalent atoms:
Si: 0.0000 0.0000 0.2343 (multiplicity 6)
As: 0.0000 0.0000 0.5000 (multiplicity 3)
Pb: 0.0000 0.0000 0.0000 (multiplicity 3)

Results
* formation energy without anion corrections: 356 meV per atom
* excess energy over the best structure of this formula in the dataset: 0.1069 eV per atom

***

No. 3
Below is crystalline SiAs2Pb at its relaxed geometry, with properties calculated at the GGA-PBE level.

Cell: 4.851 4.851 3.690 Å, 90.00 90.00 90.00°
Space group P4/mmm (No. 123)
One atom of each set of equivalent atoms:
Si: 0.000 0.000 0.000 (multiplicity 1)
As: 0.000 0.500 0.500 (multiplicity 2)
Pb: 0.500 0.500 0.000 (multiplicity 1)

Results
* formation energy without anion corrections: 495 meV per atom
* excess energy over the best structure of this formula in the dataset: 0.4631 eV per atom

***

No. 4
Below is crystalline SiAs2Pb at its relaxed geometry, with properties calculated at the GGA-PBE level.

Cell: 3.7972 3.7972 22.8460 Å, 90.00 90.00 120.00°
Space group R3m (No. 160, hexagonal axes)
One atom of each set of equivalent atoms:
Si: 0.0000 0.0000 0.0000 (multiplicity 3)
As: 0.0000 0.0000 0.2839 (multiplicity 3)
As: 0.0000 0.0000 0.5162 (multiplicity 3)
Pb: 0.0000 0.0000 0.7705 (multiplicity 3)

Results
* formation energy without anion corrections: 235 meV per atom
* excess energy over the best structure of this formula in the dataset: 0.2030 eV per atom

***

No. 5
Below is crystalline SiTeAsPb2 at its relaxed geometry, with properties calculated at the GGA-PBE level.

Cell: 5.439 5.439 5.173 Å, 90.00 90.00 90.00°
Space group P4/mmm (No. 123)
One atom of each set of equivalent atoms:
Si: 0.000 0.000 0.000 (multiplicity 1)
Te: 0.000 0.000 0.500 (multiplicity 1)
As: 0.500 0.500 0.500 (multiplicity 1)
Pb: 0.000 0.500 0.000 (multiplicity 2)

Results
* formation energy without anion corrections: 593 meV per atom

***

No. 6
Below is crystalline VSi2AsPb at its relaxed geometry, with properties calculated at the GGA-PBE level.

Cell: 4.763 4.763 5.456 Å, 90.00 90.00 90.00°
Space group P4/mmm (No. 123)
One atom of each set of equivalent atoms:
V: 0.000 0.000 0.000 (multiplicity 1)
Si: 0.000 0.500 0.500 (multiplicity 2)
As: 0.500 0.500 0.500 (multiplicity 1)
Pb: 0.500 0.500 0.000 (multiplicity 1)

Results
* formation energy without anion corrections: 1408 meV per atom